The following is a DFT calculation (PBE) of a geometry-optimized Tb3Cu2Hg3 structure.

abc: 7.4434 7.4434 3.8111
angles: 90.00 90.00 120.00
Closest atoms and distances in Å follow each position.
Positions (direct):
Tb1 0.0000 0.4075 0.0000  4 Cu 2.95, 6 Hg 3.22-3.26
Tb2 0.4075 0.0000 0.0000  4 Cu 2.95, 6 Hg 3.22-3.26
Tb3 0.5925 0.5925 0.0000  4 Cu 2.95, 6 Hg 3.22-3.26
Cu1 0.3333 0.6667 0.5000  3 Hg 2.87, 6 Tb 2.95
Cu2 0.6667 0.3333 0.5000  3 Hg 2.87, 6 Tb 2.95
Hg1 0.0000 0.7554 0.5000  2 Cu 2.87, 2 Hg 3.15
Hg2 0.2446 0.2446 0.5000  2 Cu 2.87, 2 Hg 3.15
Hg3 0.7554 0.0000 0.5000  2 Cu 2.87, 2 Hg 3.15

Computed properties:
The formation energy comes out at -0.359 eV/atom.